Entry 1:
Below is an optimized crystal structure of Pr4CBr2F3, with properties calculated at the PBE-GGA level.

The structure in POSCAR format:
```
Pr4CBr2F3
1.0
-6.971 -1.103 4.286
-4.932 -4.146 5.164
3.936 3.925 4.466
Br C F Pr
2 1 3 4
Cartesian
-0.022 1.008 3.544
-7.946 -2.332 10.372
-5.952 -2.625 4.725
-9.416 -3.994 8.024
-3.984 -0.662 6.958
1.448 2.670 5.893
-7.290 -2.903 6.866
-10.686 -4.209 10.229
2.718 2.885 3.687
-0.678 1.579 7.050
```

Properties
* raw total energy: -58.4 eV/cell
* mass density: 6.2 g/cm³
* space group: C2/m, No. 12

---

Entry 2:
Below is an optimized crystal structure of Pr4CBr4F, with properties calculated at the PBE-GGA level.

The structure in POSCAR format:
```
Pr4CBr4F
1.0
9.187 -1.914 0.000
9.187 1.914 0.000
-1.586 0.000 7.634
Br C F Pr
4 1 1 4
Cartesian
14.884 0.000 1.457
2.376 0.000 2.832
14.410 0.000 4.802
1.903 0.000 6.178
9.187 0.000 0.000
8.393 0.000 3.817
11.659 0.000 0.594
17.951 0.000 1.779
-1.164 0.000 5.856
5.128 0.000 7.041
```

Properties
* raw total energy: -53.0 eV/cell
* mass density: 5.7 g/cm³
* space group: C2/m, No. 12

---

Entry 3:
Below is an optimized crystal structure of Pr2Sm2CBr3F2, with properties calculated at the PBE-GGA level.

The structure in POSCAR format:
```
Pr2Sm2CBr3F2
1.0
7.934 -1.933 0.000
7.934 1.933 0.000
-1.998 0.000 8.232
Br C F Pr Sm
3 1 2 2 2
Cartesian
2.278 0.000 2.769
6.935 0.000 4.116
11.592 0.000 5.463
7.934 0.000 0.000
12.858 0.000 0.704
1.012 0.000 7.528
15.314 0.000 1.669
-1.444 0.000 6.563
10.277 0.000 0.638
3.593 0.000 7.594
```

Properties
* raw total energy: -56.1 eV/cell
* mass density: 5.7 g/cm³
* space group: C2/m, No. 12

---

Entry 4:
Below is an optimized crystal structure of Sm4C2Br2F3, with properties calculated at the PBE-GGA level.

The structure in POSCAR format:
```
Sm4C2Br2F3
1.0
-8.651 1.020 1.888
-7.314 -0.322 5.083
2.325 6.100 1.590
Br C F Sm
2 2 3 4
Cartesian
-13.441 0.755 5.939
-0.199 6.043 2.622
-6.244 3.158 3.939
-7.395 3.640 4.623
-7.982 0.349 3.485
-2.053 2.869 2.064
-11.587 3.929 6.497
0.419 1.631 0.510
-4.439 2.406 2.868
-9.201 4.392 5.694
-14.059 5.167 8.051
```

Properties
* raw total energy: -68.3 eV/cell
* mass density: 6.5 g/cm³
* space group: C2/m, No. 12

---

Question: raw total energy of number 1 (Pr4CBr2F3)?
Answer: -58.4 eV/cell

---

Question: Which value of mass density does entry 3 give?
Answer: 5.7 g/cm³

---

Question: The highest raw total energy belongs to which entry?
Answer: Pr4CBr4F

---

Question: Which value of mass density does entry 2 give?
Answer: 5.7 g/cm³